This record from the Alexandria database describes Cs2BRh after structural relaxation. The functional is PBE-GGA.

Structure (extended XYZ):
```
4
Lattice="1.3667 -3.6481 -3.9507 -0.3256 -5.4443 1.0186 -3.9393 -3.0488 -2.4436" Properties=species:S:1:pos:R:3 pbc="T T T"
Cs -2.1736 -9.1059 -4.0317
Cs -0.7245 -3.0353 -1.3439
Rh -1.4491 -6.0706 -2.6878
B 0.0000 0.0000 0.0000
```

Computed properties:
For the calculated total energy, the calculation gives -9.15 eV/cell. As for the formation energy: 1.646 eV/atom. The calculation puts the energy above the most stable polymorph in this dataset at 1170 meV per atom. As for the size of the total moment: 0.002 μB/cell.